1.
CaAu2Se | SCAN | single point on PBEsol structure

Output
- DOS(E_F): 1.0 states/eV/cell
- SG: P4/mmm, No. 123
- Raw formation energy: -0.79 eV per atom
- E: -42.7996 eV/atom
- Crystal system: tetragonal

Cell lengths 3.9419, 3.9419, 5.1850 Å; angles 90.00, 90.00, 90.00 degrees
Closest atoms and distances in Å follow each position.
Fractional positions:
Se 0.0000 0.0000 0.5000  4 Ca 2.79
Au 0.5000 0.0000 0.0000  4 Au 2.79
Ca 0.5000 0.5000 0.5000  4 Se 2.79
Au 0.0000 0.5000 0.0000  4 Au 2.79

2.
InIr2W | SCAN | single point on PBEsol structure

Output
- DOS(E_F): 1.8 states/eV/cell
- SG: I4/mmm, No. 139
- E: -61.2822 eV/atom
- ΔH_f (0 K): 0.036 eV/atom
- Crystal system: tetragonal

Cell lengths 4.0462, 4.0462, 4.7586 Å; angles 115.16, 115.16, 90.00 degrees
Closest atoms and distances in Å follow each position.
Fractional positions:
Ir 0.7500 0.2500 0.5000  4 In 2.78, 4 W 2.78, 4 Ir 2.86
W 0.0000 0.0000 0.0000  8 Ir 2.78, 4 In 2.86
In 0.5000 0.5000 0.0000  8 Ir 2.78, 4 W 2.86
Ir 0.2500 0.7500 0.5000  4 W 2.78, 4 In 2.78, 4 Ir 2.86

3.
Co3AsF | SCAN | single point on PBEsol structure

Output
- DOS(E_F): 2.4 states/eV/cell
- SG: Pm-3m, No. 221
- Raw formation energy: 0.13 eV per atom
- E: -15.0037 eV/atom
- Crystal system: cubic

Cell lengths 3.9412, 3.9412, 3.9412 Å; angles 90.00, 90.00, 90.00 degrees
Closest atoms and distances in Å follow each position.
Fractional positions:
Co 0.5000 0.0000 0.0000  2 F 1.97
As 0.5000 0.5000 0.5000  12 Co 2.79
Co 0.0000 0.0000 0.5000  2 F 1.97
F 0.0000 0.0000 0.0000  6 Co 1.97
Co 0.0000 0.5000 0.0000  2 F 1.97

4.
YMg2In | SCAN | single point on PBEsol structure

Output
- DOS(E_F): 1.0 states/eV/cell
- SG: F-43m, No. 216
- E: -18.1121 eV/atom
- ΔH_f (0 K): -0.318 eV/atom
- Crystal system: cubic

Cell lengths 5.0963, 5.0963, 5.0963 Å; angles 60.00, 60.00, 60.00 degrees
Closest atoms and distances in Å follow each position.
Fractional positions:
In 0.5000 0.5000 0.5000  4 Mg 3.12, 4 Y 3.12
Mg 0.7500 0.7500 0.7500  4 In 3.12, 4 Mg 3.12
Mg 0.0000 0.0000 0.0000  4 Mg 3.12, 4 Y 3.12
Y 0.2500 0.2500 0.2500  4 In 3.12, 4 Mg 3.12

5.
Y2Si2Ir | SCAN | single point on PBEsol structure

Output
- DOS(E_F): 4.9 states/eV/cell
- SG: P4/mbm, No. 127
- Raw formation energy: -1.05 eV per atom
- E: -30.4174 eV/atom
- Crystal system: tetragonal

Cell lengths 4.4342, 6.4434, 6.4434 Å; angles 90.00, 90.00, 90.00 degrees
Closest atoms and distances in Å follow each position.
Fractional positions:
Si 0.0000 0.1337 0.3663  1 Si 2.44, 2 Ir 2.51
Ir 0.0000 0.0000 0.0000  4 Si 2.51
Si 0.0000 0.3663 0.8663  1 Si 2.44, 2 Ir 2.51
Si 0.0000 0.6337 0.1337  1 Si 2.44, 2 Ir 2.51
Y 0.5000 0.1755 0.6755  6 Si 2.82-2.99
Ir 0.0000 0.5000 0.5000  4 Si 2.51
Y 0.5000 0.8245 0.3245  6 Si 2.82-2.99
Si 0.0000 0.8663 0.6337  1 Si 2.44, 2 Ir 2.51
Y 0.5000 0.6755 0.8245  6 Si 2.82-2.99
Y 0.5000 0.3245 0.1755  6 Si 2.82-2.99

6.
AsH2S | SCAN | single point on PBEsol structure

Output
- DOS(E_F): 1.0 states/eV/cell
- SG: Fm-3m, No. 225
- E: -8.1413 eV/atom
- Crystal system: cubic

Cell lengths 3.7904, 3.7904, 3.7904 Å; angles 60.00, 60.00, 60.00 degrees
Closest atoms and distances in Å follow each position.
Fractional positions:
S 0.0000 0.0000 0.0000  8 H 2.32
As 0.5000 0.5000 0.5000  8 H 2.32
H 0.2500 0.2500 0.2500  4 S 2.32, 4 As 2.32
H 0.7500 0.7500 0.7500  4 S 2.32, 4 As 2.32